DFT (PBE) results for ZrTeBr2 after structural relaxation.

ΔE to the lowest computed polymorph: 0.3036 eV per atom
DOS(E_F): 0.000 states/eV per atom
Energy relative to the elements, uncorrected: -0.777 eV/atom
Crystal system: tetragonal
Calculated density: 4741 kg/m³

Cell: 9.760 9.760 5.569 Å, 90.00 90.00 90.00°
Space group I-42d (No. 122)
Symmetry-distinct sites (fractional):
Zr 0.000 0.000 0.000 [4 per cell]
Te 0.000 0.000 0.500 [4 per cell]
Br 0.116 0.250 0.125 [8 per cell]